Entry from Alexandria via LeMat-Bulk: an optimized crystal structure of SiIr2W (PBE).

Cell lengths 3.9788, 2.8184, 5.3982 Å; angles 74.85, 90.00, 90.00 degrees
Last column: nearest neighbours and their distance in Å.
Sites, in units of the cell vectors:
Ir 0.0000 0.0713 0.9818  1 Si 2.45
Ir 0.5000 0.4283 0.2676  2 Si 2.36
Si 0.0000 0.3073 0.5114  3 Ir 2.36-2.45
W 0.5000 0.6931 0.7391  4 Si 2.71, 7 Ir 2.75-2.83, 2 W 2.82

Computed properties:
total magnetization	0.00	μB per formula unit
space group	No. 38
formation energy from raw total energies	-258	meV per atom